(1)
## Sr3NpSc2N6 (PBE-GGA)

Data for a relaxed Sr3NpSc2N6 crystal.

Structure (POSCAR):
```
Sr3NpSc2N6
1.0
5.9149 -0.0009 0.0023
-2.9568 5.1228 0.0023
-0.9844 -1.7045 5.9084
Sr Np Sc N
3 1 2 6
direct
0.1706 0.8294 0.5000
0.8294 0.1706 0.5000
0.5000 0.5000 0.5000
0.0000 0.0000 0.0000
0.3337 0.6663 0.0000
0.6663 0.3337 0.0000
0.9340 0.6157 0.8019
0.7487 0.7487 0.1990
0.0660 0.3843 0.1981
0.6157 0.9340 0.8019
0.2513 0.2513 0.8010
0.3843 0.0660 0.1981
```

Summary:
Its symmetry is C2/m (12). The total energy comes out at -95.2 eV per cell. Its uncorrected formation energy is -14.632 eV/f.u. The total magnetic moment is 1.0 μB per cell. As for the density of states at the Fermi level: 0.08 states/eV per atom.

(2)
## Np2ScTaN4 (PBE-GGA)

Data for a relaxed Np2ScTaN4 crystal.

Structure (POSCAR):
```
Np2ScTaN4
1.0
3.2455 0.0000 0.0000
0.0000 5.6576 0.1097
0.0000 -1.9679 5.4313
Np Sc Ta N
2 1 1 4
direct
0.5000 0.0000 0.5000
0.0000 0.5000 0.5000
0.5000 0.5000 0.0000
0.0000 0.0000 0.0000
0.5000 0.2343 0.2220
0.5000 0.7657 0.7780
0.0000 0.2490 0.7737
0.0000 0.7510 0.2263
```

Summary:
Its symmetry is P2/m (10). The total energy comes out at -87.9 eV per cell. Its uncorrected formation energy is -10.552 eV/f.u. The total magnetic moment is 0.3 μB per cell. As for the density of states at the Fermi level: 1.36 states/eV per atom.

(3)
## NpSc2TaN4 (PBE-GGA)

Data for a relaxed NpSc2TaN4 crystal.

Structure (POSCAR):
```
NpSc2TaN4
1.0
-2.1419 1.2740 -2.0184
-4.1041 -1.2178 3.5864
1.9576 5.1360 1.1644
Np Sc Ta N
1 2 1 4
direct
0.5000 0.5000 0.0000
0.5000 0.0000 0.5000
0.0000 0.5000 0.5000
0.0000 0.0000 0.0000
0.5000 0.2398 0.2438
0.5000 0.7602 0.7562
0.0000 0.2372 0.7445
0.0000 0.7628 0.2555
```

Summary:
Its symmetry is P2/m (10). The total energy comes out at -82.8 eV per cell. Its uncorrected formation energy is -12.025 eV/f.u. The total magnetic moment is 2.6 μB per cell. As for the density of states at the Fermi level: 0.76 states/eV per atom.

(4)
## Zr2NpScN4 (PBE-GGA)

Data for a relaxed Zr2NpScN4 crystal.

Structure (POSCAR):
```
Zr2NpScN4
1.0
-2.4897 -1.4542 1.5665
-0.6037 -3.6448 -4.3428
3.2648 -4.5631 0.9530
Zr Np Sc N
2 1 1 4
direct
0.0000 0.0000 0.0000
0.5000 0.0000 0.5000
0.5000 0.5000 0.0000
0.0000 0.5000 0.5000
0.0000 0.7526 0.7433
0.0000 0.2474 0.2567
0.5000 0.7480 0.2510
0.5000 0.2520 0.7490
```

Summary:
Its symmetry is P2/m (10). The total energy comes out at -82.7 eV per cell. Its uncorrected formation energy is -13.033 eV/f.u. The total magnetic moment is 2.6 μB per cell. As for the density of states at the Fermi level: 0.78 states/eV per atom.

(5)
## Np3Se3N (PBE-GGA)

Data for a relaxed Np3Se3N crystal.

Structure (POSCAR):
```
Np3Se3N
1.0
-4.9606 4.9279 1.4646
-5.7276 -5.5642 -0.6779
2.3045 -0.9438 10.9811
Np Se N
12 12 4
direct
0.9380 0.9350 0.6335
0.5620 0.9350 0.1335
0.1260 0.7542 0.9882
0.3740 0.7542 0.4882
0.5712 0.6141 0.8441
0.9288 0.6141 0.3441
0.0712 0.3859 0.6559
0.4288 0.3859 0.1559
0.6260 0.2458 0.5118
0.8740 0.2458 0.0118
0.4380 0.0650 0.8665
0.0620 0.0650 0.3665
0.8209 0.9043 0.8795
0.6791 0.9043 0.3795
0.2352 0.7292 0.7248
0.7391 0.5989 0.5852
0.2648 0.7292 0.2248
0.7609 0.5989 0.0852
0.2391 0.4011 0.9148
0.7352 0.2708 0.7752
0.2609 0.4011 0.4148
0.7648 0.2708 0.2752
0.3209 0.0957 0.6205
0.1791 0.0957 0.1205
0.4240 0.8222 0.9642
0.0760 0.8222 0.4642
0.9240 0.1778 0.5358
0.5760 0.1778 0.0358
```

Summary:
Its symmetry is P2_1/c (14). The total energy comes out at -260.6 eV per cell. Its uncorrected formation energy is -7.541 eV/f.u. The total magnetic moment is 15.0 μB per cell. As for the density of states at the Fermi level: 3.86 states/eV per atom.

(6)
## Np2SeN2 (PBE-GGA)

Data for a relaxed Np2SeN2 crystal.

Structure (POSCAR):
```
Np2SeN2
1.0
-2.3467 -5.3313 1.5513
3.5532 -1.3747 -4.6713
3.2155 2.5832 4.6913
Np Se N
4 2 4
direct
0.1944 0.8056 0.0000
0.8056 0.1944 0.0000
0.0556 0.9444 0.5000
0.4444 0.5556 0.5000
0.5000 0.5000 0.0000
0.7500 0.2500 0.5000
0.8644 0.8644 0.7288
0.1356 0.1356 0.2712
0.1144 0.6144 0.2288
0.3856 0.8856 0.7712
```

Summary:
Its symmetry is Fddd (70). The total energy comes out at -104.0 eV per cell. Its uncorrected formation energy is -5.988 eV/f.u. The total magnetic moment is 12.0 μB per cell. As for the density of states at the Fermi level: 2.44 states/eV per atom.

(7)
## Np2Se2N (PBE-GGA)

Data for a relaxed Np2Se2N crystal.

Structure (POSCAR):
```
Np2Se2N
1.0
-1.4005 -4.3350 -5.4380
5.3343 2.9121 -3.6952
5.6355 -4.7436 4.3969
Np Se N
8 8 4
direct
0.7592 0.9510 0.1499
0.2592 0.5490 0.1499
0.7408 0.4510 0.8501
0.2408 0.0490 0.8501
0.6672 0.3464 0.4306
0.1672 0.1536 0.4306
0.8328 0.8464 0.5694
0.3328 0.6536 0.5694
0.5285 0.2742 0.0765
0.0285 0.2258 0.0765
0.9715 0.7742 0.9235
0.4715 0.7258 0.9235
0.9246 0.6175 0.3168
0.4246 0.8825 0.3168
0.5754 0.1175 0.6832
0.0754 0.3825 0.6832
0.3488 0.4208 0.3865
0.6512 0.5792 0.6135
0.8488 0.0792 0.3865
0.1512 0.9208 0.6135
```

Summary:
Its symmetry is P2_1/c (14). The total energy comes out at -189.1 eV per cell. Its uncorrected formation energy is -6.088 eV/f.u. The total magnetic moment is 28.0 μB per cell. As for the density of states at the Fermi level: 2.96 states/eV per atom.

(8)
## Np2SeN (PBE-GGA)

Data for a relaxed Np2SeN crystal.

Structure (POSCAR):
```
Np2SeN
1.0
-0.1296 3.6345 0.4714
-0.7272 1.3945 3.3129
6.0422 1.7245 2.6302
Np Se N
2 1 1
direct
0.7676 0.7676 0.6971
0.2324 0.2324 0.3029
0.0000 0.0000 0.0000
0.5000 0.5000 0.5000
```

Summary:
Its symmetry is R-3m (166). The total energy comes out at -41.8 eV per cell. Its uncorrected formation energy is -4.091 eV/f.u. The total magnetic moment is 7.6 μB per cell. As for the density of states at the Fermi level: 2.85 states/eV per atom. As for the energy above the most stable polymorph in this dataset: 0 meV per atom.

Among the records above, which one has the highest uncorrected formation energy?
Np2SeN